This record from the Alexandria database describes a relaxed YPSeN2 crystal. The functional is PBE.

Structure (POSCAR):
```
YPSeN2
1.0
3.832 0.000 0.000
0.000 3.832 0.000
0.000 0.000 4.810
Y P Se N
1 1 1 2
direct
0.000 0.000 0.000
0.500 0.500 0.500
0.500 0.500 0.000
0.000 0.500 0.500
0.500 0.000 0.500
```

Calculated values
Formation energy from raw total energies: 4.02 kcal/mol of atoms
Distance to the lowest polymorph of the same formula: 0.000 eV/atom
Space-group type: P4/mmm (123)
Electronic total energy: -31.1 eV for the cell shown
Volume: 70.6 Å³ per cell